# 1
Li2TeSe2: optimized geometry, PBE.

The calculation puts the total magnetization at 0.00 μB/atom. The calculation puts the energy at -33.961 eV for the cell shown. Its symmetry is P4/mbm, No. 127. The formation energy without anion corrections is -0.6084 eV/atom. The energy above the lowest structure with this stoichiometry is 0 meV/atom.

Cell lengths 7.721, 7.721, 3.712 Å; angles 90.00, 90.00, 90.00 degrees
Sites, in units of the cell vectors:
Te (0.000, 0.000, 0.000)
Te (0.500, 0.500, 0.000)
Se (0.322, 0.822, 0.000)
Se (0.822, 0.678, 0.000)
Se (0.678, 0.178, 0.000)
Se (0.178, 0.322, 0.000)
Li (0.141, 0.641, 0.500)
Li (0.641, 0.859, 0.500)
Li (0.859, 0.359, 0.500)
Li (0.359, 0.141, 0.500)

# 2
Li2TeSe: optimized geometry, PBE.

The calculation puts the total magnetization at 0.00 μB/atom. The calculation puts the energy at -13.424 eV for the cell shown. Its symmetry is Pmm2, No. 25. The formation energy without anion corrections is -0.7425 eV/atom. The energy above the lowest structure with this stoichiometry is 40 meV/atom.

Cell lengths 2.950, 4.079, 7.742 Å; angles 90.00, 90.00, 90.00 degrees
Sites, in units of the cell vectors:
Li (0.000, 0.000, 0.990)
Li (0.500, 0.500, 0.411)
Se (0.000, 0.000, 0.309)
Te (0.500, 0.500, 0.789)

# 3
LiTeSe2: optimized geometry, PBE.

The calculation puts the total magnetization at 0.00 μB/atom. The calculation puts the energy at -13.273 eV for the cell shown. Its symmetry is I4/mmm, No. 139. The formation energy without anion corrections is -0.3122 eV/atom.

Cell lengths 6.424, 6.424, 4.061 Å; angles 108.40, 108.40, 36.84 degrees
Sites, in units of the cell vectors:
Li (0.250, 0.250, 0.250)
Se (0.994, 0.994, 0.994)
Se (0.506, 0.506, 0.506)
Te (0.750, 0.750, 0.750)

# 4
LiTeSe2: optimized geometry, PBE.

The calculation puts the total magnetization at 0.00 μB/atom. The calculation puts the energy at -55.594 eV for the cell shown. Its symmetry is P2/c, No. 13. The formation energy without anion corrections is -0.4685 eV/atom.

Cell lengths 5.834, 5.836, 11.330 Å; angles 90.00, 90.00, 90.00 degrees
Sites, in units of the cell vectors:
Li (0.255, 0.001, 0.375)
Li (0.745, 0.999, 0.625)
Li (0.255, 0.499, 0.125)
Li (0.745, 0.501, 0.875)
Te (0.249, 0.500, 0.625)
Te (0.751, 0.500, 0.375)
Te (0.249, 0.000, 0.875)
Te (0.751, 0.000, 0.125)
Se (0.749, 0.000, 0.879)
Se (0.251, 0.000, 0.121)
Se (0.749, 0.500, 0.621)
Se (0.251, 0.500, 0.379)
Se (0.751, 0.500, 0.129)
Se (0.249, 0.500, 0.871)
Se (0.751, 0.000, 0.371)
Se (0.249, 0.000, 0.629)

# 5
LiTeSe: optimized geometry, PBE.

The calculation puts the total magnetization at 0.00 μB/atom. The calculation puts the energy at -9.670 eV for the cell shown. Its symmetry is I4mm, No. 107. The formation energy without anion corrections is -0.3765 eV/atom. The energy above the lowest structure with this stoichiometry is 120 meV/atom.

Cell lengths 8.453, 8.452, 3.030 Å; angles 79.69, 79.66, 20.65 degrees
Sites, in units of the cell vectors:
Li (0.982, 0.982, 0.018)
Se (0.381, 0.381, 0.619)
Te (0.638, 0.638, 0.362)

# 6
LiTeSe2: optimized geometry, PBE.

The calculation puts the total magnetization at 0.00 μB/atom. The calculation puts the energy at -13.845 eV for the cell shown. Its symmetry is P4mm, No. 99. The formation energy without anion corrections is -0.4551 eV/atom.

Cell lengths 4.132, 4.130, 5.745 Å; angles 90.00, 90.00, 90.00 degrees
Sites, in units of the cell vectors:
Te (0.000, 0.000, 0.408)
Se (0.000, 0.000, 0.851)
Se (0.500, 0.500, 0.368)
Li (0.500, 0.500, 0.873)

# 7
LiTeSe2: optimized geometry, PBE.

The calculation puts the total magnetization at 0.00 μB/atom. The calculation puts the energy at -13.118 eV for the cell shown. Its symmetry is Immm, No. 71. The formation energy without anion corrections is -0.2733 eV/atom.

Cell lengths 6.348, 6.348, 6.348 Å; angles 140.83, 141.64, 55.99 degrees
Sites, in units of the cell vectors:
Li (0.250, 0.750, 0.500)
Se (0.915, 0.915, 0.000)
Se (0.585, 0.585, 0.000)
Te (0.750, 0.250, 0.500)

# 8
Li2TeSe: optimized geometry, PBE.

The calculation puts the total magnetization at 0.00 μB/atom. The calculation puts the energy at -13.586 eV for the cell shown. Its symmetry is Amm2, No. 38. The formation energy without anion corrections is -0.7830 eV/atom. The energy above the lowest structure with this stoichiometry is 0 meV/atom.

Cell lengths 7.726, 7.726, 4.152 Å; angles 89.98, 89.98, 21.76 degrees
Sites, in units of the cell vectors:
Li (0.977, 0.977, 0.875)
Li (0.191, 0.191, 0.375)
Se (0.539, 0.539, 0.375)
Te (0.792, 0.792, 0.875)

# 9
LiTeSe4: optimized geometry, PBE.

The calculation puts the total magnetization at 0.00 μB/atom. The calculation puts the energy at -17.300 eV for the cell shown. Its symmetry is F-43m, No. 216. The formation energy without anion corrections is 0.2824 eV/atom.

Cell lengths 5.808, 5.808, 5.808 Å; angles 60.00, 60.00, 60.00 degrees
Sites, in units of the cell vectors:
Li (0.000, 0.000, 0.000)
Te (0.750, 0.750, 0.750)
Se (0.874, 0.375, 0.375)
Se (0.375, 0.375, 0.874)
Se (0.375, 0.874, 0.375)
Se (0.375, 0.375, 0.375)

# 10
LiTeSe: optimized geometry, PBE.

The calculation puts the total magnetization at 0.00 μB/atom. The calculation puts the energy at -8.882 eV for the cell shown. Its symmetry is F-43m, No. 216. The formation energy without anion corrections is -0.1139 eV/atom. The energy above the lowest structure with this stoichiometry is 383 meV/atom.

Cell lengths 4.906, 4.906, 4.906 Å; angles 60.00, 60.00, 60.00 degrees
Sites, in units of the cell vectors:
Li (0.500, 0.500, 0.500)
Se (0.750, 0.750, 0.750)
Te (0.000, 0.000, 0.000)

# 11
Li2TeSe: optimized geometry, PBE.

The calculation puts the total magnetization at 0.00 μB/atom. The calculation puts the energy at -13.075 eV for the cell shown. Its symmetry is I4/mmm, No. 139. The formation energy without anion corrections is -0.6554 eV/atom. The energy above the lowest structure with this stoichiometry is 128 meV/atom.

Cell lengths 5.131, 5.131, 5.131 Å; angles 127.27, 127.27, 77.80 degrees
Sites, in units of the cell vectors:
Li (0.000, 0.000, 0.000)
Li (0.500, 0.500, 0.000)
Se (0.250, 0.750, 0.500)
Te (0.750, 0.250, 0.500)

# 12
LiTeSe2: optimized geometry, PBE.

The calculation puts the total magnetization at 0.00 μB/atom. The calculation puts the energy at -13.719 eV for the cell shown. Its symmetry is I4/mmm, No. 139. The formation energy without anion corrections is -0.4236 eV/atom.

Cell lengths 4.942, 4.941, 4.942 Å; angles 71.24, 69.09, 108.76 degrees
Sites, in units of the cell vectors:
Te (0.000, 0.500, 0.500)
Se (0.000, 0.000, 0.000)
Se (0.500, 0.000, 0.500)
Li (0.500, 0.500, 0.000)

Repeat the second record exactly.
Li2TeSe: optimized geometry, PBE.

The calculation puts the total magnetization at 0.00 μB/atom. The calculation puts the energy at -13.424 eV for the cell shown. Its symmetry is Pmm2, No. 25. The formation energy without anion corrections is -0.7425 eV/atom. The energy above the lowest structure with this stoichiometry is 40 meV/atom.

Cell lengths 2.950, 4.079, 7.742 Å; angles 90.00, 90.00, 90.00 degrees
Sites, in units of the cell vectors:
Li (0.000, 0.000, 0.990)
Li (0.500, 0.500, 0.411)
Se (0.000, 0.000, 0.309)
Te (0.500, 0.500, 0.789)

What did the tenth record say?
LiTeSe: optimized geometry, PBE.

The calculation puts the total magnetization at 0.00 μB/atom. The calculation puts the energy at -8.882 eV for the cell shown. Its symmetry is F-43m, No. 216. The formation energy without anion corrections is -0.1139 eV/atom. The energy above the lowest structure with this stoichiometry is 383 meV/atom.

Cell lengths 4.906, 4.906, 4.906 Å; angles 60.00, 60.00, 60.00 degrees
Sites, in units of the cell vectors:
Li (0.500, 0.500, 0.500)
Se (0.750, 0.750, 0.750)
Te (0.000, 0.000, 0.000)

Which value of energy does entry 1 give?
-33.961 eV for the cell shown

Which of these has the lowest energy?
number 4